Density functional theory data (PBE with a Hubbard U) for a geometry-optimized MnClO3 structure.

The space group is Cmc2_1 (No. 36) and the conventional cell measures 7.564, 10.632 and 5.322 Å, with angles of 90.00, 90.00 and 90.00 degrees. The inequivalent atoms are Mn at (0.000, 0.179, 0.000), Cl at (0.000, 0.367, 0.120), O at (0.000, 0.177, 0.702) and O at (0.172, 0.112, 0.105).

The total energy is -5.14 eV per atom.